# Cd2HgAs (PBEsol, relaxed)
data_Cd2HgAs
_chemical_formula_sum 'Cd4 Hg2 As2'
_symmetry_space_group_name_H-M 'I m m m'
_symmetry_Int_Tables_number 71
_symmetry_space_group_name_Hall '-I 2 2'
_cell_length_a 4.589
_cell_length_b 5.007
_cell_length_c 7.420
_cell_angle_alpha 90.00
_cell_angle_beta 90.00
_cell_angle_gamma 90.00
loop_
_atom_site_label
_atom_site_type_symbol
_atom_site_fract_x
_atom_site_fract_y
_atom_site_fract_z
Cd1 Cd 0.000 0.000 0.248
Hg1 Hg 0.000 0.500 0.000
As1 As 0.000 0.500 0.500
# Calculated volume (Å³ per cell): 170
# Size of the total moment (μB/cell): 0.00
# Formation enthalpy at 0 K (eV/atom): 0.105
# ΔE to the lowest computed polymorph (meV per atom): 73
# Theoretical density (g cm⁻³): 9.75

=====

# Rb3FeAg (PBEsol, relaxed)
data_Rb3FeAg
_chemical_formula_sum 'Rb3 Fe1 Ag1'
_symmetry_space_group_name_H-M 'P m -3 m'
_symmetry_Int_Tables_number 221
_symmetry_space_group_name_Hall '-P 4 2 3'
_cell_length_a 6.520
_cell_length_b 6.520
_cell_length_c 6.520
_cell_angle_alpha 90.00
_cell_angle_beta 90.00
_cell_angle_gamma 90.00
loop_
_atom_site_label
_atom_site_type_symbol
_atom_site_fract_x
_atom_site_fract_y
_atom_site_fract_z
Rb1 Rb 0.000 0.000 0.500
Fe1 Fe 0.500 0.500 0.500
Ag1 Ag 0.000 0.000 0.000
# Calculated volume (Å³ per cell): 277
# Size of the total moment (μB/cell): 3.10
# Formation enthalpy at 0 K (eV/atom): 1.004
# Theoretical density (g cm⁻³): 2.52

=====

- The lowest formation enthalpy at 0 K belongs to which entry?
  Cd2HgAs

=====

- What is the formula in the first record?
  Cd2HgAs

=====

- Which of these has the lowest size of the total moment?
  Cd2HgAs